(1)
Density functional theory data (PBE-GGA) for a relaxed RbHgH2I3O crystal.

Cell lengths 7.504, 7.504, 8.844 Å; angles 90.26, 90.26, 84.62 degrees
Element x y z (fractional)
O 0.508 0.272 0.906
Hg 0.967 0.037 0.560
H 0.169 0.456 0.363
Rb 0.526 0.258 0.234
O 0.272 0.508 0.406
H 0.626 0.269 0.857
I 0.788 0.379 0.576
I 0.836 0.832 0.812
H 0.269 0.626 0.357
H 0.456 0.169 0.863
I 0.832 0.836 0.312
Hg 0.037 0.967 0.060
I 0.340 0.005 0.577
Rb 0.258 0.526 0.734
I 0.005 0.340 0.077
I 0.379 0.788 0.076

Results
Offset from the most stable computed form (eV/atom): 0.004
Total energy (eV per atom): -3.07



(2)
Density functional theory data (PBE-GGA) for a relaxed K2HgH6Ir crystal.

Cell lengths 5.633, 5.633, 5.633 Å; angles 60.00, 60.00, 60.00 degrees
Element x y z (fractional)
Hg 0.500 0.500 0.500
K 0.750 0.750 0.750
H 0.785 0.785 0.215
H 0.785 0.215 0.215
Ir 0.000 0.000 0.000
H 0.215 0.785 0.215
K 0.250 0.250 0.250
H 0.215 0.785 0.785
H 0.785 0.215 0.785
H 0.215 0.215 0.785

Results
Total energy (eV per atom): -3.34



(3)
Density functional theory data (PBE-GGA) for a relaxed K2HgH2 crystal.

Cell lengths 9.100, 9.100, 9.100 Å; angles 155.77, 155.77, 34.53 degrees
Element x y z (fractional)
K 0.666 0.666 0.000
H 0.826 0.826 0.000
Hg 0.000 0.000 0.000
K 0.334 0.334 0.000
H 0.174 0.174 0.000

Results
Total energy (eV per atom): -1.95